1.
First-principles (PBE-GGA) data for a relaxed structure of Sr4SmTe5, as listed in Alexandria via LeMat-Bulk.

mass density = 5.234 Mg/m³
energy relative to the elements, uncorrected = -1.65 eV per atom
E = -43.62 eV/f.u.

Unit cell a=4.669 b=4.669 c=16.900 alpha=97.94 beta=97.94 gamma=90.00
Element x y z (fractional)
Te: 0.301 0.301 0.601
Sm: 0.000 0.000 0.000
Sr: 0.801 0.801 0.602
Te: 0.500 0.500 0.000
Te: 0.904 0.904 0.807
Sr: 0.599 0.599 0.197
Sr: 0.199 0.199 0.398
Te: 0.096 0.096 0.193
Sr: 0.401 0.401 0.803
Te: 0.699 0.699 0.399

=====

2.
First-principles (PBE-GGA) data for a relaxed structure of SrSm4Te6, as listed in Alexandria via LeMat-Bulk.

mass density = 6.455 Mg/m³
energy relative to the elements, uncorrected = -1.47 eV per atom
E = -55.63 eV/f.u.

Unit cell a=4.454 b=7.639 c=22.994 alpha=90.00 beta=90.00 gamma=106.95
Element x y z (fractional)
Sm: 0.410 0.820 0.127
Te: 0.231 0.463 0.589
Sm: 0.860 0.720 0.538
Sm: 0.140 0.280 0.462
Sm: 0.860 0.720 0.962
Sm: 0.410 0.820 0.373
Te: 0.500 0.000 0.000
Sm: 0.590 0.180 0.873
Sm: 0.590 0.180 0.627
Te: 0.326 0.651 0.250
Te: 0.049 0.098 0.338
Sm: 0.140 0.280 0.038
Te: 0.769 0.537 0.089
Sr: 0.660 0.320 0.250
Te: 0.049 0.098 0.162
Te: 0.951 0.902 0.838
Te: 0.231 0.463 0.911
Te: 0.500 0.000 0.500
Te: 0.951 0.902 0.662
Te: 0.769 0.537 0.411
Te: 0.674 0.349 0.750
Sr: 0.340 0.680 0.750

=====

3.
First-principles (PBE-GGA) data for a relaxed structure of SrSmTe2, as listed in Alexandria via LeMat-Bulk.

mass density = 5.970 Mg/m³
distance to the lowest polymorph of the same formula = 56 meV/atom
energy relative to the elements, uncorrected = -1.48 eV per atom
E = -18.61 eV/f.u.

Unit cell a=4.451 b=4.451 c=8.397 alpha=74.63 beta=74.63 gamma=60.00
Element x y z (fractional)
Te: 0.256 0.256 0.233
Sr: 0.497 0.497 0.510
Te: 0.078 0.078 0.765
Sm: 0.669 0.669 0.992

=====

4.
First-principles (PBE-GGA) data for a relaxed structure of Sr3Sm2ThTe6, as listed in Alexandria via LeMat-Bulk.

mass density = 6.369 Mg/m³
energy relative to the elements, uncorrected = -1.45 eV per atom
E = -58.17 eV/f.u.

Unit cell a=4.508 b=9.293 c=10.332 alpha=105.14 beta=102.60 gamma=90.00
Element x y z (fractional)
Sm: 0.837 0.676 0.674
Sm: 0.163 0.324 0.326
Te: 0.335 0.914 0.670
Te: 0.999 0.754 0.998
Te: 0.665 0.086 0.330
Te: 0.671 0.572 0.342
Sr: 0.167 0.829 0.333
Sr: 0.833 0.171 0.667
Th: 0.500 0.000 0.000
Te: 0.329 0.428 0.658
Te: 0.001 0.246 0.002
Sr: 0.500 0.500 0.000

=====

5.
First-principles (PBE-GGA) data for a relaxed structure of Sr3Sm2TlTe6, as listed in Alexandria via LeMat-Bulk.

mass density = 5.944 Mg/m³
energy relative to the elements, uncorrected = -1.42 eV per atom
E = -52.70 eV/f.u.

Unit cell a=4.616 b=9.419 c=10.335 alpha=101.69 beta=102.91 gamma=90.00
Element x y z (fractional)
Sr: 0.160 0.839 0.320
Sr: 0.500 0.500 0.000
Sm: 0.833 0.662 0.666
Sm: 0.167 0.338 0.334
Te: 0.672 0.105 0.344
Te: 0.009 0.261 0.018
Te: 0.991 0.739 0.982
Te: 0.330 0.420 0.659
Tl: 0.500 0.000 0.000
Sr: 0.840 0.161 0.680
Te: 0.328 0.895 0.656
Te: 0.670 0.580 0.341

=====

6.
First-principles (PBE-GGA) data for a relaxed structure of SrSm2Tl3Te6, as listed in Alexandria via LeMat-Bulk.

mass density = 6.670 Mg/m³
energy relative to the elements, uncorrected = -1.01 eV per atom
E = -49.17 eV/f.u.

Unit cell a=7.977 b=7.977 c=8.412 alpha=99.12 beta=99.12 gamma=119.95
Element x y z (fractional)
Sr: 0.000 0.000 0.000
Sm: 0.332 0.668 0.000
Te: 0.575 0.924 0.774
Tl: 0.163 0.837 0.500
Tl: 0.500 0.500 0.500
Te: 0.425 0.076 0.226
Sm: 0.668 0.332 0.000
Te: 0.724 0.724 0.221
Te: 0.076 0.425 0.226
Tl: 0.837 0.163 0.500
Te: 0.924 0.575 0.774
Te: 0.276 0.276 0.779

=====

7.
First-principles (PBE-GGA) data for a relaxed structure of Sr3Sm2TmTe6, as listed in Alexandria via LeMat-Bulk.

mass density = 6.218 Mg/m³
energy relative to the elements, uncorrected = -1.50 eV per atom
E = -55.85 eV/f.u.

Unit cell a=7.814 b=7.814 c=7.998 alpha=99.40 beta=99.40 gamma=119.92
Element x y z (fractional)
Sr: 0.500 0.500 0.500
Sm: 0.665 0.335 0.000
Sr: 0.830 0.170 0.500
Te: 0.754 0.754 0.236
Te: 0.403 0.077 0.233
Te: 0.077 0.403 0.233
Te: 0.246 0.246 0.764
Te: 0.923 0.597 0.767
Sr: 0.170 0.830 0.500
Tm: 0.000 0.000 0.000
Sm: 0.335 0.665 0.000
Te: 0.597 0.923 0.767

=====

8.
First-principles (PBE-GGA) data for a relaxed structure of SrSm4Y3Te8, as listed in Alexandria via LeMat-Bulk.

mass density = 6.608 Mg/m³
energy relative to the elements, uncorrected = -1.38 eV per atom
E = -87.17 eV/f.u.

Unit cell a=8.871 b=8.907 c=8.871 alpha=119.86 beta=120.00 gamma=90.00
Element x y z (fractional)
Sm: 0.500 0.000 0.000
Te: 0.253 0.748 0.506
Te: 0.747 0.252 0.494
Te: 0.252 0.257 0.505
Y: 0.000 0.500 0.500
Te: 0.258 0.252 0.005
Sm: 0.500 0.000 0.500
Sr: 0.000 0.500 0.000
Te: 0.748 0.743 0.495
Y: 0.500 0.500 0.500
Te: 0.747 0.252 0.005
Te: 0.253 0.748 0.995
Te: 0.742 0.748 0.995
Sm: 0.000 0.000 0.500
Y: 0.500 0.500 0.000
Sm: 0.000 0.000 0.000

=====

Which of these has the highest E?
SrSmTe2